A plane-wave DFT calculation with PBE with a Hubbard U was carried out for a relaxed LiVRuO6 crystal.

energy = -6.6772 eV/atom
symmetry = P-31c (163)

Lattice parameters (Å, degrees): 5.0359 5.0359 9.2404 90.00 90.00 120.00
Last column: nearest neighbours and their distance in Å.
Sites, in units of the cell vectors:
Li  0.0000  0.0000  0.0000  6 O 2.23
Li  0.0000  0.0000  0.5000  6 O 2.23
V  0.3333  0.6667  0.2500  6 O 1.90
V  0.6667  0.3333  0.7500  6 O 1.90
Ru  0.3333  0.6667  0.7500  6 O 1.94
Ru  0.6667  0.3333  0.2500  6 O 1.94
O  0.0056  0.3667  0.1370  1 V 1.90, 1 Ru 1.94
O  0.0056  0.6389  0.3630  1 V 1.90, 1 Ru 1.94
O  0.3611  0.3667  0.3630  1 V 1.90, 1 Ru 1.94
O  0.3611  0.9944  0.1370  1 V 1.90, 1 Ru 1.94
O  0.3667  0.0056  0.6370  1 V 1.90, 1 Ru 1.94
O  0.3667  0.3611  0.8630  1 V 1.90, 1 Ru 1.94
O  0.6333  0.6389  0.1370  1 V 1.90, 1 Ru 1.94
O  0.6333  0.9944  0.3630  1 V 1.90, 1 Ru 1.94
O  0.6389  0.0056  0.8630  1 V 1.90, 1 Ru 1.94
O  0.6389  0.6333  0.6370  1 V 1.90, 1 Ru 1.94
O  0.9944  0.3611  0.6370  1 V 1.90, 1 Ru 1.94
O  0.9944  0.6333  0.8630  1 V 1.90, 1 Ru 1.94